#one
Density functional theory data (meta-GGA SCAN) for TaTc2Rh at its PBEsol-relaxed geometry.

Density (g cm⁻³): 13.58

```
TaTc2Rh
1.0
-1.948 1.948 3.863
1.948 -1.948 3.863
1.948 1.948 -3.863
Ta Tc Rh
1 2 1
Direct
0.000 0.000 0.000
0.250 0.750 0.500
0.500 0.500 0.000
0.750 0.250 0.500
```


#two
Density functional theory data (meta-GGA SCAN) for TaTc2Rh at its PBEsol-relaxed geometry.

Density (g cm⁻³): 13.61

```
TaTc2Rh
1.0
3.826 0.000 0.000
0.000 3.826 0.000
0.000 0.000 4.000
Ta Tc Rh
1 2 1
Direct
0.000 0.000 0.000
0.000 0.500 0.500
0.500 0.000 0.500
0.500 0.500 0.000
```


Which structure loses on stability? #one does.


#one
Density functional theory data (meta-GGA SCAN) for YTa2Rh at its PBEsol-relaxed geometry.

Density (g cm⁻³): 13.12

```
YTa2Rh
1.0
0.000 3.272 3.272
3.272 0.000 3.272
3.272 3.272 0.000
Y Ta Rh
1 2 1
Direct
0.000 0.000 0.000
0.250 0.250 0.250
0.750 0.750 0.750
0.500 0.500 0.500
```


#two
Density functional theory data (meta-GGA SCAN) for YTa2Rh at its PBEsol-relaxed geometry.

Density (g cm⁻³): 12.56

```
YTa2Rh
1.0
3.252 0.000 0.000
0.000 4.493 0.000
0.000 0.000 5.011
Y Ta Rh
1 2 1
Direct
0.000 0.000 0.000
0.000 0.500 0.500
0.500 0.000 0.500
0.500 0.500 0.000
```


#three
Density functional theory data (meta-GGA SCAN) for YTa2Rh at its PBEsol-relaxed geometry.

Density (g cm⁻³): 12.05

```
YTa2Rh
1.0
4.995 -1.517 0.000
4.995 1.517 0.000
-1.655 0.000 5.036
Y Ta Rh
1 2 1
Direct
0.000 0.000 0.000
0.530 0.530 0.524
0.789 0.789 0.338
0.246 0.246 0.750
```


Which structure loses on stability? #one does.


#one
Density functional theory data (meta-GGA SCAN) for Y2TaRh at its PBEsol-relaxed geometry.

Density (g cm⁻³): 9.04

```
Y2TaRh
1.0
-2.468 2.468 3.483
2.468 -2.468 3.483
2.468 2.468 -3.483
Y Ta Rh
2 1 1
Direct
0.250 0.750 0.500
0.750 0.250 0.500
0.000 0.000 0.000
0.500 0.500 0.000
```


#two
Density functional theory data (meta-GGA SCAN) for Y2TaRh at its PBEsol-relaxed geometry.

Density (g cm⁻³): 9.11

```
Y2TaRh
1.0
3.307 0.000 0.000
0.000 3.307 0.000
0.000 0.000 7.698
Y Ta Rh
2 1 1
Direct
0.000 0.000 0.222
0.000 0.000 0.778
0.500 0.500 0.500
0.500 0.500 0.000
```


Which structure loses on stability? #one does.


#one
Density functional theory data (meta-GGA SCAN) for Zr2TaRh at its PBEsol-relaxed geometry.

Density (g cm⁻³): 10.46

```
Zr2TaRh
1.0
3.209 0.000 0.000
0.000 3.209 0.000
0.000 0.000 7.192
Zr Ta Rh
2 1 1
Direct
0.000 0.000 0.000
0.500 0.500 0.288
0.500 0.500 0.733
0.000 0.000 0.528
```


#two
Density functional theory data (meta-GGA SCAN) for Zr2TaRh at its PBEsol-relaxed geometry.

Density (g cm⁻³): 10.68

```
Zr2TaRh
1.0
2.991 0.000 0.000
0.000 4.597 0.000
-1.158 0.000 5.270
Zr Ta Rh
2 1 1
Direct
0.000 0.000 0.000
0.264 0.500 0.731
0.542 0.000 0.485
0.755 0.500 0.242
```


Which structure loses on stability? #two does.